Entry 1:
Density functional theory data (PBE-GGA) for crystalline Pm2Tl3SbS6 at its relaxed geometry.

- Formation energy (no corrections): -104.6 kJ/mol of atoms
- Symmetry: C2/m
- Electronic total energy: -4.87 eV/atom

Cell lengths 7.142, 7.142, 7.830 Å; angles 98.74, 98.74, 120.00 degrees
Sites, in units of the cell vectors:
Pm 0.167 0.833 0.000
Pm 0.833 0.167 0.000
Tl 0.000 0.000 0.500
Tl 0.332 0.668 0.500
Tl 0.668 0.332 0.500
Sb 0.500 0.500 0.000
S 0.105 0.433 0.799
S 0.240 0.240 0.204
S 0.433 0.105 0.799
S 0.567 0.895 0.201
S 0.760 0.760 0.796
S 0.895 0.567 0.201

Entry 2:
Density functional theory data (PBE-GGA) for crystalline Re2MoRh at its relaxed geometry.

- Symmetry: R-3m
- Energy of formation: 0.10 eV per atom
- Offset from the most stable computed form: 136 meV/atom
- Electronic total energy: -10.67 eV/atom

Cell lengths 2.753, 2.753, 27.526 Å; angles 90.00, 90.00, 120.00 degrees
Sites, in units of the cell vectors:
Re 0.000 0.000 0.248
Re 0.000 0.000 0.752
Re 0.333 0.667 0.419
Re 0.333 0.667 0.915
Re 0.667 0.333 0.085
Re 0.667 0.333 0.581
Mo 0.000 0.000 0.000
Mo 0.333 0.667 0.667
Mo 0.667 0.333 0.333
Rh 0.000 0.000 0.500
Rh 0.333 0.667 0.167
Rh 0.667 0.333 0.833